## TbCoO3 (PBE with a Hubbard U)

Data for a relaxed TbCoO3 crystal.

Output
* E: -6.974 eV per atom
* total moment: 0.0 μB/f.u.

a b c (Å): 3.675 3.675 3.807
angles (deg): 90.00 90.00 90.00
Fractional positions:
Tb (0.000, 0.000, 0.000)
Co (0.500, 0.500, 0.546)
O (0.000, 0.500, 0.595)
O (0.500, 0.000, 0.595)
O (0.500, 0.500, 0.064)